# 1
A geometry-optimized Ce2HoTmTe5 structure, computed with GGA-PBE.

Results
raw total energy: -4.895 eV/atom
mass density: 6.03 g cm⁻³
volume: 344.71 Å³ per cell
symmetry: P4/mmm

Unit cell a=5.476 b=5.476 c=11.494 alpha=90.00 beta=90.00 gamma=90.00
Site moments in Bohr magnetons follow the coordinates.
Sites, in units of the cell vectors:
Ce1 0.500 0.500 0.318  -1.36
Ce2 0.500 0.500 0.682  -1.36
Ho1 0.000 0.000 0.000  -0.06
Tm1 0.000 0.000 0.500  -0.07
Te1 0.000 0.500 0.500  0.02
Te2 0.500 0.000 0.500  0.02
Te3 0.000 0.000 0.755  0.01
Te4 0.000 0.000 0.245  0.01
Te5 0.500 0.500 0.000  0.01


# 2
A geometry-optimized EuGaGe2 structure, computed with GGA-PBE.

Results
raw total energy: -5.992 eV/atom
mass density: 7.32 g cm⁻³
volume: 83.26 Å³ per cell
DFT formation energy: -0.3578 eV per atom
symmetry: P4/mmm
ΔE to the lowest computed polymorph: 0.000 eV per atom

Unit cell a=4.259 b=4.422 c=4.422 alpha=90.00 beta=90.00 gamma=90.00
Site moments in Bohr magnetons follow the coordinates.
Sites, in units of the cell vectors:
Eu1 0.500 0.500 0.500  6.66
Ge1 0.000 0.000 0.500  -0.01
Ge2 0.000 0.500 0.000  -0.01
Ga1 0.500 0.000 0.000  0.00


# 3
A geometry-optimized NaGe2Se3 structure, computed with GGA-PBE.

Results
raw total energy: -3.763 eV/atom
mass density: 3.56 g cm⁻³
volume: 377.95 Å³ per cell
symmetry: Cmcm

Unit cell a=6.663 b=7.532 c=7.532 alpha=90.85 beta=90.00 gamma=90.00
Sites, in units of the cell vectors:
Na1 0.250 0.391 0.609
Na2 0.750 0.609 0.391
Ge1 0.000 0.164 0.164
Ge2 0.500 0.164 0.164
Ge3 0.000 0.836 0.836
Ge4 0.500 0.836 0.836
Se1 0.750 0.119 0.881
Se2 0.750 0.217 0.413
Se3 0.250 0.413 0.217
Se4 0.750 0.587 0.783
Se5 0.250 0.783 0.587
Se6 0.250 0.881 0.119


# 4
A geometry-optimized Cs2PbBr5 structure, computed with GGA-PBE.

Results
raw total energy: -2.906 eV/atom
mass density: 3.34 g cm⁻³
volume: 868.82 Å³ per cell
symmetry: Cmcm

Unit cell a=5.882 b=9.810 c=15.781 alpha=90.00 beta=90.00 gamma=107.45
Sites, in units of the cell vectors:
Cs1 0.855 0.709 0.427
Cs2 0.855 0.709 0.073
Cs3 0.145 0.291 0.573
Cs4 0.145 0.291 0.927
Pb1 0.853 0.706 0.750
Pb2 0.147 0.294 0.250
Br1 0.957 0.915 0.880
Br2 0.957 0.915 0.620
Br3 0.258 0.517 0.382
Br4 0.258 0.517 0.118
Br5 0.664 0.329 0.250
Br6 0.336 0.671 0.750
Br7 0.742 0.483 0.618
Br8 0.742 0.483 0.882
Br9 0.043 0.085 0.120
Br10 0.043 0.085 0.380


# 5
A geometry-optimized Ta2CSe2 structure, computed with GGA-PBE.

Results
raw total energy: -6.828 eV/atom
mass density: 8.53 g cm⁻³
volume: 103.48 Å³ per cell
symmetry: I4/mmm

Unit cell a=3.997 b=3.997 c=7.067 alpha=73.57 beta=73.57 gamma=90.00
Site moments in Bohr magnetons follow the coordinates.
Sites, in units of the cell vectors:
C1 0.000 0.000 0.000  0.89
Se1 0.384 0.384 0.232  0.02
Se2 0.616 0.616 0.768  0.02
Ta1 0.750 0.250 0.500  0.00
Ta2 0.250 0.750 0.500  0.00


# 6
A geometry-optimized SrEuPH structure, computed with GGA-PBE.

Results
raw total energy: -5.924 eV/atom
mass density: 5.02 g cm⁻³
volume: 89.77 Å³ per cell
symmetry: F-43m

Unit cell a=5.026 b=5.026 c=5.026 alpha=60.00 beta=60.00 gamma=60.00
Site moments in Bohr magnetons follow the coordinates.
Sites, in units of the cell vectors:
Eu1 0.750 0.750 0.750  6.87
Sr1 0.250 0.250 0.250  0.02
H1 0.000 0.000 0.000  -0.01
P1 0.500 0.500 0.500  -0.05


# 7
A geometry-optimized BaTaCu2Pb structure, computed with GGA-PBE.

Results
raw total energy: -4.652 eV/atom
mass density: 7.74 g cm⁻³
volume: 140.00 Å³ per cell
DFT formation energy: 0.4831 eV per atom
symmetry: P4/mmm

Unit cell a=5.069 b=5.448 c=5.069 alpha=90.00 beta=90.00 gamma=90.00
Sites, in units of the cell vectors:
Pb1 0.000 0.500 0.000
Ba1 0.500 0.500 0.500
Cu1 0.000 0.000 0.500
Cu2 0.500 0.000 0.000
Ta1 0.000 0.000 0.000


# 8
A geometry-optimized Ca2LaPb structure, computed with GGA-PBE.

Results
raw total energy: -3.419 eV/atom
mass density: 5.11 g cm⁻³
volume: 138.60 Å³ per cell
DFT formation energy: -0.2596 eV per atom
symmetry: Pmm2

Unit cell a=3.869 b=4.770 c=7.511 alpha=90.00 beta=90.00 gamma=90.00
Sites, in units of the cell vectors:
Pb1 0.500 0.500 0.746
Ca1 0.000 0.000 0.979
Ca2 0.500 0.500 0.250
La1 0.000 0.000 0.525


# 9
A geometry-optimized BeW2Cl structure, computed with GGA-PBE.

Results
raw total energy: -7.081 eV/atom
mass density: 11.64 g cm⁻³
volume: 58.80 Å³ per cell
symmetry: C2/m
ΔE to the lowest computed polymorph: 0.476 eV per atom

Unit cell a=4.604 b=4.604 c=5.025 alpha=76.23 beta=76.23 gamma=34.76
Sites, in units of the cell vectors:
Be1 0.750 0.750 0.750
W1 0.011 0.011 0.985
W2 0.489 0.489 0.515
Cl1 0.250 0.250 0.250


# 10
A geometry-optimized AgP2W structure, computed with GGA-PBE.

Results
raw total energy: -6.295 eV/atom
mass density: 8.83 g cm⁻³
volume: 66.52 Å³ per cell
DFT formation energy: 0.3608 eV per atom
symmetry: Cmmm
ΔE to the lowest computed polymorph: 0.338 eV per atom

Unit cell a=2.914 b=2.914 c=8.498 alpha=90.00 beta=90.00 gamma=112.79
Sites, in units of the cell vectors:
Ag1 0.500 0.500 0.750
P1 0.000 0.000 0.032
P2 0.000 0.000 0.468
W1 0.500 0.500 0.250


# 11
A geometry-optimized RbZn3Ga structure, computed with GGA-PBE.

Results
raw total energy: -0.569 eV/atom
mass density: 2.41 g cm⁻³
volume: 241.74 Å³ per cell
DFT formation energy: 0.9941 eV per atom
symmetry: Pm-3m
ΔE to the lowest computed polymorph: 0.801 eV per atom

Unit cell a=6.229 b=6.229 c=6.229 alpha=90.00 beta=90.00 gamma=90.00
Sites, in units of the cell vectors:
Zn1 0.000 0.500 0.000
Zn2 0.000 0.000 0.500
Zn3 0.500 0.000 0.000
Ga1 0.500 0.500 0.500
Rb1 0.000 0.000 0.000


# 12
A geometry-optimized BeCu2 structure, computed with GGA-PBE.

Results
raw total energy: -3.920 eV/atom
mass density: 6.85 g cm⁻³
volume: 65.99 Å³ per cell
DFT formation energy: 0.0533 eV per atom
symmetry: I4_1/amd

Unit cell a=2.516 b=2.516 c=10.571 alpha=96.84 beta=96.84 gamma=90.00
Sites, in units of the cell vectors:
Be1 0.750 0.250 0.500
Be2 0.000 0.000 0.000
Cu1 0.178 0.678 0.355
Cu2 0.572 0.572 0.145
Cu3 0.322 0.822 0.645
Cu4 0.428 0.428 0.855


# 13
A geometry-optimized ScPt2Rh structure, computed with GGA-PBE.

Results
raw total energy: -7.062 eV/atom
mass density: 13.61 g cm⁻³
volume: 65.64 Å³ per cell
DFT formation energy: -0.6208 eV per atom
symmetry: Fm-3m

Unit cell a=4.528 b=4.528 c=4.528 alpha=60.00 beta=60.00 gamma=60.00
Sites, in units of the cell vectors:
Sc1 0.000 0.000 0.000
Rh1 0.500 0.500 0.500
Pt1 0.250 0.250 0.250
Pt2 0.750 0.750 0.750


# 14
A geometry-optimized LaTl2Cl structure, computed with GGA-PBE.

Results
raw total energy: -3.537 eV/atom
mass density: 8.11 g cm⁻³
volume: 119.46 Å³ per cell
symmetry: C2/m
ΔE to the lowest computed polymorph: 0.139 eV per atom

Unit cell a=4.372 b=6.975 c=4.347 alpha=72.73 beta=87.30 gamma=107.38
Sites, in units of the cell vectors:
Tl1 0.000 0.000 0.000
Tl2 0.500 0.000 0.500
Cl1 0.000 0.500 0.500
La1 0.500 0.500 0.000


# 15
A geometry-optimized Mg2CdSn2 structure, computed with GGA-PBE.

Results
raw total energy: -2.466 eV/atom
mass density: 5.27 g cm⁻³
volume: 251.20 Å³ per cell
DFT formation energy: -0.0440 eV per atom
symmetry: P4/mbm
ΔE to the lowest computed polymorph: 0.014 eV per atom

Unit cell a=8.878 b=8.878 c=3.187 alpha=90.00 beta=90.00 gamma=90.00
Sites, in units of the cell vectors:
Mg1 0.136 0.636 0.500
Mg2 0.636 0.864 0.500
Mg3 0.864 0.364 0.500
Mg4 0.364 0.136 0.500
Sn1 0.338 0.838 0.000
Sn2 0.838 0.662 0.000
Sn3 0.662 0.162 0.000
Sn4 0.162 0.338 0.000
Cd1 0.000 0.000 0.000
Cd2 0.500 0.500 0.000


# 16
A geometry-optimized ErBe6Ni2 structure, computed with GGA-PBE.

Results
raw total energy: -4.356 eV/atom
mass density: 5.55 g cm⁻³
volume: 101.30 Å³ per cell
DFT formation energy: -0.0805 eV per atom
symmetry: Immm

Unit cell a=3.620 b=5.863 c=5.863 alpha=60.68 beta=72.02 gamma=72.02
Sites, in units of the cell vectors:
Er1 0.000 0.000 0.000
Be1 0.711 0.089 0.488
Be2 0.289 0.911 0.512
Be3 0.289 0.512 0.911
Be4 0.500 0.661 0.339
Be5 0.500 0.339 0.661
Be6 0.711 0.488 0.089
Ni1 0.863 0.637 0.637
Ni2 0.137 0.363 0.363


# 17
A geometry-optimized NbGePd3 structure, computed with GGA-PBE.

Results
raw total energy: -5.126 eV/atom
mass density: 7.04 g cm⁻³
volume: 114.30 Å³ per cell
DFT formation energy: 0.9268 eV per atom
symmetry: Pm-3m
ΔE to the lowest computed polymorph: 1.158 eV per atom

Unit cell a=4.853 b=4.853 c=4.853 alpha=90.00 beta=90.00 gamma=90.00
Sites, in units of the cell vectors:
Nb1 0.000 0.000 0.000
Ge1 0.500 0.500 0.500
Pd1 0.000 0.500 0.000
Pd2 0.000 0.000 0.500
Pd3 0.500 0.000 0.000


# 18
A geometry-optimized Cu2Pd5Au structure, computed with GGA-PBE.

Results
raw total energy: -4.742 eV/atom
mass density: 11.84 g cm⁻³
volume: 120.04 Å³ per cell
DFT formation energy: -0.0625 eV per atom
symmetry: C2/m
ΔE to the lowest computed polymorph: 0.000 eV per atom

Unit cell a=5.539 b=5.539 c=5.538 alpha=120.15 beta=120.15 gamma=89.55
Sites, in units of the cell vectors:
Cu1 0.278 0.778 0.500
Cu2 0.778 0.278 0.500
Pd1 0.278 0.278 0.500
Pd2 0.278 0.778 0.000
Pd3 0.778 0.278 0.000
Pd4 0.778 0.778 0.500
Pd5 0.278 0.278 0.000
Au1 0.778 0.778 0.000


# 19
A geometry-optimized CdS3O structure, computed with GGA-PBE.

Results
raw total energy: -2.103 eV/atom
mass density: 2.90 g cm⁻³
volume: 128.58 Å³ per cell
symmetry: Pm-3m
ΔE to the lowest computed polymorph: 0.927 eV per atom

Unit cell a=5.047 b=5.047 c=5.047 alpha=90.00 beta=90.00 gamma=90.00
Site moments in Bohr magnetons follow the coordinates.
Sites, in units of the cell vectors:
S1 0.000 0.500 0.000  0.79
S2 0.000 0.000 0.500  0.67
S3 0.500 0.000 0.000  0.80
O1 0.500 0.500 0.500  -0.13
Cd1 0.000 0.000 0.000  0.02


# 20
A geometry-optimized CaOs2Ru structure, computed with GGA-PBE.

Results
raw total energy: -7.973 eV/atom
mass density: 12.89 g cm⁻³
volume: 67.18 Å³ per cell
DFT formation energy: 0.4609 eV per atom
symmetry: Amm2
ΔE to the lowest computed polymorph: 0.055 eV per atom

Unit cell a=4.312 b=2.806 c=5.727 alpha=75.83 beta=90.00 gamma=90.00
Sites, in units of the cell vectors:
Ru1 0.000 0.323 0.479
Ca1 0.500 0.700 0.726
Os1 0.000 0.029 0.067
Os2 0.500 0.449 0.228


# 21
A geometry-optimized FeCuRu4 structure, computed with GGA-PBE.

Results
raw total energy: -7.596 eV/atom
mass density: 9.63 g cm⁻³
volume: 90.27 Å³ per cell
DFT formation energy: 0.6808 eV per atom
symmetry: F-43m

Unit cell a=5.035 b=5.035 c=5.035 alpha=60.00 beta=60.00 gamma=60.00
Site moments in Bohr magnetons follow the coordinates.
Sites, in units of the cell vectors:
Fe1 0.000 0.000 0.000  3.14
Cu1 0.750 0.750 0.750  0.01
Ru1 0.875 0.375 0.375  0.27
Ru2 0.375 0.375 0.875  0.27
Ru3 0.375 0.875 0.375  0.27
Ru4 0.375 0.375 0.375  0.27


# 22
A geometry-optimized CaCd2Pt9 structure, computed with GGA-PBE.

Results
raw total energy: -5.206 eV/atom
mass density: 15.27 g cm⁻³
volume: 219.76 Å³ per cell
DFT formation energy: -0.3562 eV per atom
symmetry: R-3m

Unit cell a=5.394 b=5.394 c=9.260 alpha=73.07 beta=73.07 gamma=60.00
Sites, in units of the cell vectors:
Ca1 0.000 0.000 0.000
Cd1 0.856 0.856 0.433
Cd2 0.144 0.144 0.567
Pt1 0.667 0.667 0.000
Pt2 0.333 0.333 0.000
Pt3 0.500 0.500 0.500
Pt4 0.413 0.413 0.255
Pt5 0.919 0.413 0.255
Pt6 0.413 0.919 0.255
Pt7 0.587 0.587 0.745
Pt8 0.587 0.081 0.745
Pt9 0.081 0.587 0.745


# 23
A geometry-optimized AgH structure, computed with GGA-PBE.

Results
raw total energy: -2.866 eV/atom
mass density: 7.28 g cm⁻³
volume: 148.98 Å³ per cell
symmetry: Pmmn
ΔE to the lowest computed polymorph: 0.034 eV per atom

Unit cell a=3.286 b=4.380 c=10.351 alpha=90.00 beta=90.00 gamma=90.00
Sites, in units of the cell vectors:
Ag1 0.000 0.944 0.859
Ag2 0.500 0.056 0.641
Ag3 0.500 0.056 0.359
Ag4 0.000 0.944 0.141
Ag5 0.000 0.582 0.500
Ag6 0.500 0.418 0.000
H1 0.000 0.803 0.669
H2 0.500 0.197 0.831
H3 0.500 0.197 0.169
H4 0.000 0.803 0.331
H5 0.000 0.652 0.000
H6 0.500 0.348 0.500


# 24
A geometry-optimized RbSn2F5 structure, computed with GGA-PBE.

Results
raw total energy: -4.652 eV/atom
mass density: 4.46 g cm⁻³
volume: 155.52 Å³ per cell
symmetry: Immm

Unit cell a=3.547 b=7.704 c=7.704 alpha=49.79 beta=76.69 gamma=76.69
Sites, in units of the cell vectors:
Rb1 0.000 0.000 0.000
Sn1 0.839 0.661 0.661
Sn2 0.161 0.339 0.339
F1 0.000 0.500 0.500
F2 0.628 0.606 0.137
F3 0.372 0.394 0.863
F4 0.372 0.863 0.394
F5 0.628 0.137 0.606


# 25
A geometry-optimized Sm12CuRh6 structure, computed with GGA-PBE.

Results
raw total energy: -5.974 eV/atom
mass density: 7.59 g cm⁻³
volume: 543.69 Å³ per cell
DFT formation energy: -0.4566 eV per atom
symmetry: R-3

Unit cell a=8.331 b=8.331 c=8.331 alpha=100.69 beta=100.69 gamma=100.69
Sites, in units of the cell vectors:
Sm1 0.824 0.583 0.425
Sm2 0.425 0.824 0.583
Sm3 0.583 0.425 0.824
Sm4 0.176 0.417 0.575
Sm5 0.575 0.176 0.417
Sm6 0.417 0.575 0.176
Sm7 0.078 0.944 0.325
Sm8 0.056 0.675 0.922
Sm9 0.675 0.922 0.056
Sm10 0.922 0.056 0.675
Sm11 0.944 0.325 0.078
Sm12 0.325 0.078 0.944
Cu1 0.000 0.000 0.000
Rh1 0.693 0.865 0.384
Rh2 0.616 0.307 0.135
Rh3 0.135 0.616 0.307
Rh4 0.307 0.135 0.616
Rh5 0.384 0.693 0.865
Rh6 0.865 0.384 0.693